1.
Entry from Alexandria: a geometry-optimized Al4TlCr structure (PBE).

Values from the calculation:
As for the crystal system: cubic. The value obtained for the formation energy is 0.32 eV/atom. The calculation puts the calculated density at 5.409 g/cm³.

a b c (Å): 7.6480 7.6480 7.6480
angles (deg): 90.00 90.00 90.00
Space group F-43m (No. 216)
Unique sites:
1 Al 0.1244 0.1244 0.1244 (multiplicity 16)
2 Tl 0.0000 0.0000 0.5000 (multiplicity 4)
3 Cr 0.2500 0.2500 0.7500 (multiplicity 4)



2.
Entry from Alexandria: a geometry-optimized RbPuSeO5 structure (PBE).

Values from the calculation:
As for the crystal system: monoclinic. The calculation puts the total DFT energy (no corrections) at -7.29 eV per atom. The calculation puts the calculated density at 5.276 g/cm³.

a b c (Å): 7.0656 10.8961 8.0323
angles (deg): 90.00 96.06 90.00
Space group C2/c (No. 15)
Unique sites:
1 Rb 0.0000 0.1515 0.2500 (multiplicity 4)
2 Pu 0.0000 0.5000 0.0000 (multiplicity 4)
3 Se 0.0000 0.2029 0.7500 (multiplicity 4)
4 O 0.0000 0.4371 0.2500 (multiplicity 4)
5 O 0.0780 0.2964 0.6003 (multiplicity 8)
6 O 0.2436 0.0347 0.9954 (multiplicity 8)



3.
Entry from Alexandria: a geometry-optimized Pm2Pr5Tl structure (PBE).

Values from the calculation:
As for the crystal system: orthorhombic. The value obtained for the formation energy is -0.01 eV/atom. The calculation puts the calculated density at 7.303 g/cm³.

a b c (Å): 3.5777 11.4616 13.2955
angles (deg): 90.00 90.00 90.00
Space group Immm (No. 71)
Unique sites:
1 Pm 0.0000 0.0000 0.2310 (multiplicity 4)
2 Pr 0.0000 0.0000 0.5000 (multiplicity 2)
3 Pr 0.0000 0.2621 0.1301 (multiplicity 8)
4 Tl 0.0000 0.5000 0.5000 (multiplicity 2)



4.
Entry from Alexandria: a geometry-optimized AcGe2Pd5Pb structure (PBE).

Values from the calculation:
As for the crystal system: tetragonal. The value obtained for the formation energy is -0.43 eV/atom. The calculation puts the calculated density at 9.247 g/cm³.

a b c (Å): 4.1363 4.1363 11.6670
angles (deg): 90.00 90.00 90.00
Space group P4/mmm (No. 123)
Unique sites:
1 Ac 0.0000 0.0000 0.0000 (multiplicity 1)
2 Ge 0.5000 0.5000 0.2108 (multiplicity 2)
3 Pd 0.0000 0.5000 0.3277 (multiplicity 4)
4 Pd 0.5000 0.5000 0.0000 (multiplicity 1)
5 Pb 0.0000 0.0000 0.5000 (multiplicity 1)



5.
Entry from Alexandria: a geometry-optimized Sm3Ho5Sc3 structure (PBE).

Values from the calculation:
As for the crystal system: hexagonal. The value obtained for the formation energy is 0.35 eV/atom. The calculation puts the calculated density at 6.804 g/cm³.

a b c (Å): 10.8412 10.8412 3.3822
angles (deg): 90.00 90.00 120.00
Space group P-62m (No. 189)
Unique sites:
1 Sm 0.0000 0.3444 0.0000 (multiplicity 3)
2 Ho 0.0000 0.8341 0.0000 (multiplicity 3)
3 Ho 0.3333 0.6667 0.0000 (multiplicity 2)
4 Sc 0.0000 0.5913 0.5000 (multiplicity 3)



6.
Entry from Alexandria: a geometry-optimized TlGaH2 structure (PBE).

Values from the calculation:
As for the crystal system: triclinic. The calculation puts the total DFT energy (no corrections) at -2.95 eV per atom. The calculation puts the calculated density at 5.436 g/cm³.

a b c (Å): 3.3661 3.9905 12.7614
angles (deg): 81.46 84.41 89.99
Space group P-1 (No. 2)
Unique sites:
1 Tl 0.0797 0.1109 0.2849 (multiplicity 2)
2 Ga 0.0000 0.5000 0.5000 (multiplicity 1)
3 Ga 0.5000 0.0000 0.5000 (multiplicity 1)
4 H 0.2644 0.2652 0.9718 (multiplicity 2)
5 H 0.2874 0.2967 0.9118 (multiplicity 2)



7.
Entry from Alexandria: a geometry-optimized AlAg3Au structure (PBE).

Values from the calculation:
As for the crystal system: cubic. The value obtained for the formation energy is 0.59 eV/atom. The calculation puts the calculated density at 8.276 g/cm³.

a b c (Å): 4.7895 4.7895 4.7895
angles (deg): 90.00 90.00 90.00
Space group Pm-3m (No. 221)
Unique sites:
1 Al 0.0000 0.0000 0.0000 (multiplicity 1)
2 Ag 0.0000 0.0000 0.5000 (multiplicity 3)
3 Au 0.5000 0.5000 0.5000 (multiplicity 1)



8.
Entry from Alexandria: a geometry-optimized PmNdY3Th structure (PBE).

Values from the calculation:
As for the crystal system: orthorhombic. The value obtained for the formation energy is 0.13 eV/atom. The calculation puts the calculated density at 6.582 g/cm³.

a b c (Å): 5.9591 11.1895 11.9255
angles (deg): 90.00 90.00 90.00
Space group Cmcm (No. 63)
Unique sites:
1 Pm 0.0000 0.0023 0.2500 (multiplicity 4)
2 Nd 0.0000 0.3306 0.2500 (multiplicity 4)
3 Y 0.0000 0.1738 0.5011 (multiplicity 8)
4 Y 0.0000 0.3343 0.7500 (multiplicity 4)
5 Th 0.0000 0.5000 0.0000 (multiplicity 4)



9.
Entry from Alexandria: a geometry-optimized NbTe2As structure (PBE).

Values from the calculation:
As for the crystal system: tetragonal. The calculation puts the total DFT energy (no corrections) at -4.79 eV per atom. The calculation puts the calculated density at 5.329 g/cm³.

a b c (Å): 6.6254 6.6254 12.0125
angles (deg): 90.00 90.00 90.00
Space group I-42d (No. 122)
Unique sites:
1 Nb 0.0000 0.0000 0.0000 (multiplicity 4)
2 Te 0.2251 0.2500 0.1250 (multiplicity 8)
3 As 0.0000 0.0000 0.5000 (multiplicity 4)



10.
Entry from Alexandria: a geometry-optimized YOs2W structure (PBE).

Values from the calculation:
As for the crystal system: tetragonal. The value obtained for the formation energy is 0.03 eV/atom. The calculation puts the calculated density at 15.261 g/cm³.

a b c (Å): 3.1073 3.1073 7.3609
angles (deg): 90.00 90.00 90.00
Space group P4/mmm (No. 123)
Unique sites:
1 Y 0.0000 0.0000 0.0000 (multiplicity 1)
2 Os 0.5000 0.5000 0.2931 (multiplicity 2)
3 W 0.0000 0.0000 0.5000 (multiplicity 1)



11.
Entry from Alexandria: a geometry-optimized TaNb6Ru5 structure (PBE).

Values from the calculation:
As for the crystal system: monoclinic. The value obtained for the formation energy is -0.20 eV/atom. The calculation puts the calculated density at 10.492 g/cm³.

a b c (Å): 4.5852 6.3045 7.1058
angles (deg): 90.00 106.61 90.00
Space group P2/m (No. 10)
Unique sites:
1 Ta 0.0000 0.0000 0.0000 (multiplicity 1)
2 Nb 0.1537 0.2510 0.3369 (multiplicity 4)
3 Nb 0.5000 0.2509 0.0000 (multiplicity 2)
4 Ru 0.0000 0.5000 0.0000 (multiplicity 1)
5 Ru 0.3548 0.0000 0.6693 (multiplicity 2)
6 Ru 0.3621 0.5000 0.6753 (multiplicity 2)



12.
Entry from Alexandria: a geometry-optimized Tb5ScTl6 structure (PBE).

Values from the calculation:
As for the crystal system: monoclinic. The value obtained for the formation energy is -0.33 eV/atom. The calculation puts the calculated density at 10.619 g/cm³.

a b c (Å): 9.2131 16.0577 5.3474
angles (deg): 90.00 125.24 90.00
Space group C2/m (No. 12)
Unique sites:
1 Tb 0.0000 0.0000 0.0000 (multiplicity 2)
2 Tb 0.0000 0.1656 0.5000 (multiplicity 4)
3 Tb 0.0000 0.3304 0.0000 (multiplicity 4)
4 Sc 0.0000 0.5000 0.5000 (multiplicity 2)
5 Tl 0.2390 0.5000 0.2399 (multiplicity 4)
6 Tl 0.2442 0.3371 0.7445 (multiplicity 8)



no.,total magnetization (μB/atom)
1,0.500
2,0.380
3,0.000
4,0.000
5,0.001
6,0.000
7,0.000
8,0.000
9,0.000
10,0.000
11,0.000
12,0.000